# KNaCdHg | the Alexandria database | GGA-PBE | relaxed
data_KNaCdHg
_chemical_formula_sum 'K4 Na4 Cd4 Hg4'
_symmetry_space_group_name_H-M 'F -4 3 m'
_symmetry_Int_Tables_number 216
_symmetry_space_group_name_Hall 'F -4 2 3'
_cell_length_a 8.0700
_cell_length_b 8.0700
_cell_length_c 8.0700
_cell_angle_alpha 90.00
_cell_angle_beta 90.00
_cell_angle_gamma 90.00
loop_
_atom_site_label
_atom_site_fract_x
_atom_site_fract_y
_atom_site_fract_z
K1 0.0000 0.0000 0.0000
Na1 0.0000 0.0000 0.5000
Cd1 0.2500 0.2500 0.7500
Hg1 0.2500 0.2500 0.2500
# Total magnetization   0.00 μB/cell
# E   -0.0746 Ry per atom
# Offset from the most stable computed form   32.3 meV/atom
# Energy of formation from the pure elements   -0.107 eV per atom
# DOS at the Fermi energy   2.0 states/eV/f.u.

=====

# K2NaCdHg6 | the Alexandria database | GGA-PBE | relaxed
data_K2NaCdHg6
_chemical_formula_sum 'K8 Na4 Cd4 Hg24'
_symmetry_space_group_name_H-M 'F m -3 m'
_symmetry_Int_Tables_number 225
_symmetry_space_group_name_Hall '-F 4 2 3'
_cell_length_a 11.5551
_cell_length_b 11.5551
_cell_length_c 11.5551
_cell_angle_alpha 90.00
_cell_angle_beta 90.00
_cell_angle_gamma 90.00
loop_
_atom_site_label
_atom_site_fract_x
_atom_site_fract_y
_atom_site_fract_z
K1 0.2500 0.2500 0.2500
Na1 0.0000 0.0000 0.0000
Cd1 0.0000 0.0000 0.5000
Hg1 0.0000 0.0000 0.2495
# Total magnetization   0.00 μB/cell
# E   -0.0511 Ry per atom
# Energy of formation from the pure elements   -0.071 eV per atom
# DOS at the Fermi energy   6.1 states/eV/f.u.

=====

# K4Na2Cd2Hg | the Alexandria database | GGA-PBE | relaxed
data_K4Na2Cd2Hg
_chemical_formula_sum 'K4 Na2 Cd2 Hg1'
_symmetry_space_group_name_H-M 'P -1'
_symmetry_Int_Tables_number 2
_symmetry_space_group_name_Hall '-P 1'
_cell_length_a 6.7177
_cell_length_b 8.1530
_cell_length_c 8.3085
_cell_angle_alpha 115.83
_cell_angle_beta 99.98
_cell_angle_gamma 97.70
loop_
_atom_site_label
_atom_site_fract_x
_atom_site_fract_y
_atom_site_fract_z
K1 0.0797 0.2733 0.0659
K2 0.2455 0.8645 0.5218
Na1 0.3272 0.4727 0.6457
Cd1 0.4484 0.6870 0.0983
Hg1 0.5000 0.0000 0.0000
# Total magnetization   0.00 μB/cell
# E   -0.0796 Ry per atom
# Energy of formation from the pure elements   -0.065 eV per atom
# DOS at the Fermi energy   5.2 states/eV/f.u.

=====

# K2NaCd2Hg5 | the Alexandria database | GGA-PBE | relaxed
data_K2NaCd2Hg5
_chemical_formula_sum 'K4 Na2 Cd4 Hg10'
_symmetry_space_group_name_H-M 'P 4/m b m'
_symmetry_Int_Tables_number 127
_symmetry_space_group_name_Hall '-P 4 2ab'
_cell_length_a 12.0757
_cell_length_b 12.0757
_cell_length_c 4.1147
_cell_angle_alpha 90.00
_cell_angle_beta 90.00
_cell_angle_gamma 90.00
loop_
_atom_site_label
_atom_site_fract_x
_atom_site_fract_y
_atom_site_fract_z
K1 0.1721 0.3279 0.0000
Na1 0.0000 0.0000 0.0000
Cd1 0.1276 0.6276 0.0000
Hg1 0.0000 0.5000 0.5000
Hg2 0.0631 0.8114 0.5000
# Total magnetization   0.00 μB/cell
# E   -0.0630 Ry per atom
# Energy of formation from the pure elements   -0.171 eV per atom
# DOS at the Fermi energy   5.3 states/eV/f.u.

=====

# KNaCd2Hg | the Alexandria database | GGA-PBE | relaxed
data_KNaCd2Hg
_chemical_formula_sum 'K1 Na1 Cd2 Hg1'
_symmetry_space_group_name_H-M 'P 4/m m m'
_symmetry_Int_Tables_number 123
_symmetry_space_group_name_Hall '-P 4 2'
_cell_length_a 5.5466
_cell_length_b 5.5466
_cell_length_c 5.8025
_cell_angle_alpha 90.00
_cell_angle_beta 90.00
_cell_angle_gamma 90.00
loop_
_atom_site_label
_atom_site_fract_x
_atom_site_fract_y
_atom_site_fract_z
K1 0.0000 0.0000 0.0000
Na1 0.5000 0.5000 0.0000
Cd1 0.0000 0.5000 0.5000
Hg1 0.5000 0.5000 0.5000
# Total magnetization   0.00 μB/cell
# E   -0.0664 Ry per atom
# Offset from the most stable computed form   133.3 meV/atom
# Energy of formation from the pure elements   0.007 eV per atom
# DOS at the Fermi energy   2.9 states/eV/f.u.

=====

# KNa2CdHg | the Alexandria database | GGA-PBE | relaxed
data_KNa2CdHg
_chemical_formula_sum 'K1 Na2 Cd1 Hg1'
_symmetry_space_group_name_H-M 'P 4/m m m'
_symmetry_Int_Tables_number 123
_symmetry_space_group_name_Hall '-P 4 2'
_cell_length_a 5.9217
_cell_length_b 5.9217
_cell_length_c 5.4677
_cell_angle_alpha 90.00
_cell_angle_beta 90.00
_cell_angle_gamma 90.00
loop_
_atom_site_label
_atom_site_fract_x
_atom_site_fract_y
_atom_site_fract_z
K1 0.0000 0.0000 0.0000
Na1 0.0000 0.5000 0.5000
Cd1 0.5000 0.5000 0.0000
Hg1 0.5000 0.5000 0.5000
# Total magnetization   0.00 μB/cell
# E   -0.0757 Ry per atom
# Offset from the most stable computed form   0.0 meV/atom
# Energy of formation from the pure elements   -0.040 eV per atom
# DOS at the Fermi energy   3.2 states/eV/f.u.

=====

# KNaCd2Hg4 | the Alexandria database | GGA-PBE | relaxed
data_KNaCd2Hg4
_chemical_formula_sum 'K3 Na3 Cd6 Hg12'
_symmetry_space_group_name_H-M 'R -3 m'
_symmetry_Int_Tables_number 166
_symmetry_space_group_name_Hall '-R 3 2"'
_cell_length_a 5.1275
_cell_length_b 5.1275
_cell_length_c 29.8489
_cell_angle_alpha 90.00
_cell_angle_beta 90.00
_cell_angle_gamma 120.00
loop_
_atom_site_label
_atom_site_fract_x
_atom_site_fract_y
_atom_site_fract_z
K1 0.0000 0.0000 0.0000
Na1 0.0000 0.0000 0.5000
Cd1 0.0000 0.0000 0.2338
Hg1 0.0000 0.0000 0.1251
Hg2 0.0000 0.0000 0.3944
# Total magnetization   0.00 μB/cell
# E   -0.0623 Ry per atom
# Energy of formation from the pure elements   -0.166 eV per atom
# DOS at the Fermi energy   2.8 states/eV/f.u.

=====

# KNdCdHg | the Alexandria database | GGA-PBE | relaxed
data_KNdCdHg
_chemical_formula_sum 'K4 Nd4 Cd4 Hg4'
_symmetry_space_group_name_H-M 'F -4 3 m'
_symmetry_Int_Tables_number 216
_symmetry_space_group_name_Hall 'F -4 2 3'
_cell_length_a 7.8625
_cell_length_b 7.8625
_cell_length_c 7.8625
_cell_angle_alpha 90.00
_cell_angle_beta 90.00
_cell_angle_gamma 90.00
loop_
_atom_site_label
_atom_site_fract_x
_atom_site_fract_y
_atom_site_fract_z
K1 0.0000 0.0000 0.0000
Nd1 0.0000 0.0000 0.5000
Cd1 0.2500 0.2500 0.7500
Hg1 0.2500 0.2500 0.2500
# Total magnetization   0.00 μB/cell
# E   -0.1374 Ry per atom
# Energy of formation from the pure elements   -0.099 eV per atom
# DOS at the Fermi energy   3.7 states/eV/f.u.

=====

# K8CdHg2O | the Alexandria database | GGA-PBE | relaxed
data_K8CdHg2O
_chemical_formula_sum 'K8 Cd1 Hg2 O1'
_symmetry_space_group_name_H-M 'P -1'
_symmetry_Int_Tables_number 2
_symmetry_space_group_name_Hall '-P 1'
_cell_length_a 7.4212
_cell_length_b 8.0650
_cell_length_c 9.3303
_cell_angle_alpha 90.26
_cell_angle_beta 102.76
_cell_angle_gamma 94.24
loop_
_atom_site_label
_atom_site_fract_x
_atom_site_fract_y
_atom_site_fract_z
K1 0.1197 0.2353 0.3954
K2 0.1926 0.6939 0.3493
K3 0.2653 0.0963 0.9817
K4 0.2993 0.5320 0.7247
Cd1 0.0000 0.5000 0.0000
Hg1 0.4401 0.9794 0.6463
O1 0.0000 0.5000 0.5000
# Total magnetization   0.00 μB/cell
# E   -0.1176 Ry per atom
# DOS at the Fermi energy   6.5 states/eV/f.u.
# ΔE_f (raw)   -31.7 kJ per mole of atoms

=====

# K6Cd2HgO | the Alexandria database | GGA-PBE | relaxed
data_K6Cd2HgO
_chemical_formula_sum 'K12 Cd4 Hg2 O2'
_symmetry_space_group_name_H-M 'C 1 m 1'
_symmetry_Int_Tables_number 8
_symmetry_space_group_name_Hall 'C -2y'
_cell_length_a 11.9841
_cell_length_b 11.9979
_cell_length_c 8.4718
_cell_angle_alpha 90.00
_cell_angle_beta 134.90
_cell_angle_gamma 90.00
loop_
_atom_site_label
_atom_site_fract_x
_atom_site_fract_y
_atom_site_fract_z
K1 0.0000 0.0000 0.0000
K2 0.9998 0.0000 0.4355
K3 0.2176 0.2178 0.4352
K4 0.4351 0.0000 0.4348
K5 0.4354 0.0000 0.8713
Cd1 0.2176 0.2503 0.9358
Hg1 0.2178 0.5000 0.4360
O1 0.2176 0.0000 0.4355
# Total magnetization   1.50 μB/cell
# E   -0.1230 Ry per atom
# DOS at the Fermi energy   9.8 states/eV/f.u.
# ΔE_f (raw)   -29.6 kJ per mole of atoms

=====

# KCd2HgO | the Alexandria database | GGA-PBE | relaxed
data_KCd2HgO
_chemical_formula_sum 'K1 Cd2 Hg1 O1'
_symmetry_space_group_name_H-M 'P 4/m m m'
_symmetry_Int_Tables_number 123
_symmetry_space_group_name_Hall '-P 4 2'
_cell_length_a 6.9808
_cell_length_b 6.9808
_cell_length_c 6.8666
_cell_angle_alpha 90.00
_cell_angle_beta 90.00
_cell_angle_gamma 90.00
loop_
_atom_site_label
_atom_site_fract_x
_atom_site_fract_y
_atom_site_fract_z
K1 0.0000 0.0000 0.0000
Cd1 0.0000 0.5000 0.0000
Hg1 0.0000 0.0000 0.5000
O1 0.5000 0.5000 0.5000
# Total magnetization   1.32 μB/cell
# E   -0.0708 Ry per atom
# DOS at the Fermi energy   3.9 states/eV/f.u.
# ΔE_f (raw)   65.1 kJ per mole of atoms

=====

# K2CdHgO | the Alexandria database | GGA-PBE | relaxed
data_K2CdHgO
_chemical_formula_sum 'K2 Cd1 Hg1 O1'
_symmetry_space_group_name_H-M 'P 4/m m m'
_symmetry_Int_Tables_number 123
_symmetry_space_group_name_Hall '-P 4 2'
_cell_length_a 5.5714
_cell_length_b 5.5714
_cell_length_c 4.6283
_cell_angle_alpha 90.00
_cell_angle_beta 90.00
_cell_angle_gamma 90.00
loop_
_atom_site_label
_atom_site_fract_x
_atom_site_fract_y
_atom_site_fract_z
K1 0.0000 0.5000 0.0000
Cd1 0.0000 0.0000 0.5000
Hg1 0.5000 0.5000 0.5000
O1 0.0000 0.0000 0.0000
# Total magnetization   0.00 μB/cell
# E   -0.1635 Ry per atom
# DOS at the Fermi energy   1.8 states/eV/f.u.
# ΔE_f (raw)   -53.1 kJ per mole of atoms